No. 1
K4Be2Ni after structural relaxation, computed with PBE.

Results
The energy of formation comes out at 636 kJ/mol of formula units. Its crystal system is tetragonal.

abc: 6.3612 6.3612 15.0968
angles: 90.00 90.00 90.00
Space group I4/mmm (No. 139)
Unique sites:
K 0.0000 0.0000 0.2054 x4
K 0.0000 0.5000 0.0000 x4
Be 0.0000 0.0000 0.4291 x4
Ni 0.0000 0.0000 0.0000 x2

=====

No. 2
Cs2ErPdCl6 after structural relaxation, computed with PBE.

Results
As for the energy relative to the elements, uncorrected: -39.81 kcal/mol of atoms. Its crystal system is tetragonal.

abc: 7.7281 7.7281 10.2484
angles: 90.00 90.00 90.00
Space group I4/mmm (No. 139)
Unique sites:
Cs 0.0000 0.5000 0.2500 x4
Er 0.0000 0.0000 0.0000 x2
Pd 0.0000 0.0000 0.5000 x2
Cl 0.0000 0.0000 0.2572 x4
Cl 0.2393 0.2393 0.0000 x8

=====

No. 3
HfTaAs after structural relaxation, computed with PBE.

Results
The energy of formation comes out at -164 kJ/mol of formula units. Its crystal system is monoclinic.

abc: 10.0733 3.5134 7.2549
angles: 90.00 119.69 90.00
Space group C2/m (No. 12)
Unique sites:
Hf 0.0669 0.0000 0.3376 x4
Ta 0.1496 0.5000 0.0422 x4
As 0.1638 0.5000 0.6775 x4

=====

No. 4
HoThP2Ir5 after structural relaxation, computed with PBE.

Results
The energy of formation comes out at -588 kJ/mol of formula units. Its crystal system is tetragonal.

abc: 4.0726 4.0726 10.8221
angles: 90.00 90.00 90.00
Space group P4/mmm (No. 123)
Unique sites:
Ho 0.0000 0.0000 0.0000 x1
Th 0.0000 0.0000 0.5000 x1
P 0.5000 0.5000 0.2879 x2
Ir 0.0000 0.5000 0.1967 x4
Ir 0.5000 0.5000 0.5000 x1

=====

No. 5
Th2Np2Fe15 after structural relaxation, computed with PBE.

Results
The energy of formation comes out at -33 kJ/mol of formula units. Its crystal system is trigonal.

abc: 8.6174 8.6174 12.8354
angles: 90.00 90.00 120.00
Space group R-3m (No. 166, hexagonal axes)
Unique sites:
Th 0.0000 0.0000 0.1426 x6
Np 0.0000 0.0000 0.3967 x6
Fe 0.0000 0.3147 0.5000 x18
Fe 0.0000 0.5000 0.0000 x9
Fe 0.0016 0.5008 0.6587 x18

=====

No. 6
LiMn3Al after structural relaxation, computed with PBE.

Results
The energy of formation comes out at 449 kJ/mol of formula units. Its crystal system is cubic.

abc: 4.6822 4.6822 4.6822
angles: 90.00 90.00 90.00
Space group Pm-3m (No. 221)
Unique sites:
Li 0.0000 0.0000 0.0000 x1
Mn 0.0000 0.5000 0.5000 x3
Al 0.5000 0.5000 0.5000 x1

=====

No. 7
SmTm4Rh4 after structural relaxation, computed with PBE.

Results
The energy of formation comes out at -594 kJ/mol of formula units. Its crystal system is tetragonal.

abc: 8.8003 8.8003 5.5511
angles: 90.00 90.00 90.00
Space group P4_2/n (No. 86, origin choice 2)
Unique sites:
Sm 0.2500 0.2500 0.2500 x2
Tm 0.0757 0.6575 0.1623 x8
Rh 0.0347 0.6216 0.6611 x8

=====

No. 8
PmFe3I12 after structural relaxation, computed with PBE.

Results
As for the energy relative to the elements, uncorrected: -9.42 kcal/mol of atoms. Its crystal system is hexagonal.

abc: 15.1231 15.1231 8.1833
angles: 90.00 90.00 120.00
Space group P6_3/m (No. 176)
Unique sites:
Pm 0.3333 0.6667 0.2500 x2
Fe 0.1221 0.6971 0.7500 x6
I 0.0084 0.5076 0.7500 x6
I 0.0277 0.7931 0.7500 x6
I 0.2372 0.4780 0.0099 x12